Computed, not measured: crystalline AgHgPb2 at its relaxed geometry at the PBEsol level of DFT.

Summary:
energy of formation	0.3	eV per formula unit
magnetization	0.00	μB/f.u.
density of states at the Fermi level	0.418	states/eV/atom
crystal system	orthorhombic

Lattice parameters (Å, degrees): 3.407 4.091 6.973 90.00 90.00 90.00
Space group Pmmm (No. 47)
Inequivalent atoms, fractional coordinates:
Ag1 0.000 0.000 0.000 (multiplicity 1)
Hg1 0.000 0.000 0.500 (multiplicity 1)
Pb1 0.500 0.500 0.237 (multiplicity 2)


Computed, not measured: crystalline AgHgPb at its relaxed geometry at the PBEsol level of DFT.

Summary:
distance to the lowest polymorph of the same formula	0	meV/atom
energy of formation	0.2	eV per formula unit
magnetization	0.00	μB/f.u.
density of states at the Fermi level	0.448	states/eV/atom
crystal system	tetragonal

Lattice parameters (Å, degrees): 3.314 3.314 12.382 90.00 90.00 90.00
Space group I4mm (No. 107)
Inequivalent atoms, fractional coordinates:
Ag1 0.000 0.000 0.000 (multiplicity 2)
Hg1 0.000 0.000 0.641 (multiplicity 2)
Pb1 0.000 0.000 0.336 (multiplicity 2)


Computed, not measured: crystalline AgHg2Pb at its relaxed geometry at the PBEsol level of DFT.

Summary:
energy of formation	0.2	eV per formula unit
magnetization	0.00	μB/f.u.
density of states at the Fermi level	0.400	states/eV/atom
crystal system	tetragonal

Lattice parameters (Å, degrees): 3.319 3.319 8.157 90.00 90.00 90.00
Space group P4/mmm (No. 123)
Inequivalent atoms, fractional coordinates:
Ag1 0.000 0.000 0.000 (multiplicity 1)
Hg1 0.500 0.500 0.214 (multiplicity 2)
Pb1 0.000 0.000 0.500 (multiplicity 1)


Computed, not measured: crystalline AgHgPb2 at its relaxed geometry at the PBEsol level of DFT.

Summary:
energy of formation	0.2	eV per formula unit
magnetization	0.00	μB/f.u.
density of states at the Fermi level	0.441	states/eV/atom
crystal system	tetragonal

Lattice parameters (Å, degrees): 3.441 3.441 8.216 90.00 90.00 90.00
Space group P4mm (No. 99)
Inequivalent atoms, fractional coordinates:
Ag1 0.000 0.000 0.000 (multiplicity 1)
Hg1 0.500 0.500 0.192 (multiplicity 1)
Pb1 0.000 0.000 0.452 (multiplicity 1)
Pb2 0.500 0.500 0.770 (multiplicity 1)


Computed, not measured: crystalline AgHg2Pb at its relaxed geometry at the PBEsol level of DFT.

Summary:
energy of formation	0.3	eV per formula unit
magnetization	0.00	μB/f.u.
density of states at the Fermi level	0.412	states/eV/atom
crystal system	monoclinic

Lattice parameters (Å, degrees): 3.399 4.846 5.682 90.00 100.60 90.00
Space group P2/m (No. 10)
Inequivalent atoms, fractional coordinates:
Ag1 0.000 0.000 0.000 (multiplicity 1)
Hg1 0.177 0.500 0.772 (multiplicity 2)
Pb1 0.500 0.000 0.500 (multiplicity 1)


Computed, not measured: crystalline Ag3HgPb at its relaxed geometry at the PBEsol level of DFT.

Summary:
distance to the lowest polymorph of the same formula	0	meV/atom
energy of formation	3.0	eV per formula unit
magnetization	0.00	μB/f.u.
density of states at the Fermi level	0.303	states/eV/atom
crystal system	cubic

Lattice parameters (Å, degrees): 5.096 5.096 5.096 90.00 90.00 90.00
Space group Pm-3m (No. 221)
Inequivalent atoms, fractional coordinates:
Ag1 0.000 0.000 0.500 (multiplicity 3)
Hg1 0.000 0.000 0.000 (multiplicity 1)
Pb1 0.500 0.500 0.500 (multiplicity 1)


Computed, not measured: crystalline Ag2HgPb at its relaxed geometry at the PBEsol level of DFT.

Summary:
energy of formation	0.3	eV per formula unit
magnetization	0.00	μB/f.u.
density of states at the Fermi level	0.310	states/eV/atom
crystal system	monoclinic

Lattice parameters (Å, degrees): 10.955 3.077 5.206 90.00 108.18 90.00
Space group Cm (No. 8)
Inequivalent atoms, fractional coordinates:
Ag1 0.000 0.000 0.000 (multiplicity 2)
Ag2 0.204 0.500 0.335 (multiplicity 2)
Hg1 0.247 0.000 0.862 (multiplicity 2)
Pb1 0.457 0.000 0.480 (multiplicity 2)


Computed, not measured: crystalline Ag2HgPb at its relaxed geometry at the PBEsol level of DFT.

Summary:
energy of formation	0.3	eV per formula unit
magnetization	0.00	μB/f.u.
density of states at the Fermi level	0.308	states/eV/atom
crystal system	orthorhombic

Lattice parameters (Å, degrees): 3.281 3.492 7.396 90.00 90.00 90.00
Space group Pmm2 (No. 25)
Inequivalent atoms, fractional coordinates:
Ag1 0.000 0.000 0.000 (multiplicity 1)
Ag2 0.500 0.500 0.199 (multiplicity 1)
Hg1 0.000 0.000 0.423 (multiplicity 1)
Pb1 0.500 0.500 0.741 (multiplicity 1)


Computed, not measured: crystalline Ag2HgPb at its relaxed geometry at the PBEsol level of DFT.

Summary:
energy of formation	0.3	eV per formula unit
magnetization	0.00	μB/f.u.
density of states at the Fermi level	0.362	states/eV/atom
crystal system	monoclinic

Lattice parameters (Å, degrees): 3.311 4.670 5.654 90.00 106.06 90.00
Space group Pm (No. 6)
Inequivalent atoms, fractional coordinates:
Ag1 0.000 0.000 0.000 (multiplicity 1)
Ag2 0.150 0.500 0.293 (multiplicity 1)
Hg1 0.727 0.000 0.453 (multiplicity 1)
Pb1 0.417 0.500 0.820 (multiplicity 1)


Computed, not measured: crystalline Ag4HgPb at its relaxed geometry at the PBEsol level of DFT.

Summary:
energy of formation	0.5	eV per formula unit
magnetization	0.00	μB/f.u.
density of states at the Fermi level	0.356	states/eV/atom
crystal system	cubic

Lattice parameters (Å, degrees): 7.787 7.787 7.787 90.00 90.00 90.00
Space group F-43m (No. 216)
Inequivalent atoms, fractional coordinates:
Ag1 0.125 0.125 0.125 (multiplicity 16)
Hg1 0.250 0.250 0.750 (multiplicity 4)
Pb1 0.000 0.000 0.500 (multiplicity 4)


Computed, not measured: crystalline AgHg2Pb at its relaxed geometry at the PBEsol level of DFT.

Summary:
energy of formation	0.2	eV per formula unit
magnetization	0.00	μB/f.u.
density of states at the Fermi level	0.333	states/eV/atom
crystal system	orthorhombic

Lattice parameters (Å, degrees): 3.201 4.705 12.664 90.00 90.00 90.00
Space group Imm2 (No. 44)
Inequivalent atoms, fractional coordinates:
Ag1 0.000 0.000 0.000 (multiplicity 2)
Hg1 0.000 0.000 0.508 (multiplicity 2)
Hg2 0.000 0.500 0.690 (multiplicity 2)
Pb1 0.000 0.500 0.298 (multiplicity 2)


Computed, not measured: crystalline AgHg2Pb at its relaxed geometry at the PBEsol level of DFT.

Summary:
energy of formation	0.3	eV per formula unit
magnetization	0.00	μB/f.u.
density of states at the Fermi level	0.353	states/eV/atom
crystal system	monoclinic

Lattice parameters (Å, degrees): 3.480 4.656 5.823 90.00 101.96 90.00
Space group Pm (No. 6)
Inequivalent atoms, fractional coordinates:
Ag1 0.000 0.000 0.000 (multiplicity 1)
Hg1 0.148 0.500 0.297 (multiplicity 1)
Hg2 0.742 0.000 0.475 (multiplicity 1)
Pb1 0.465 0.500 0.824 (multiplicity 1)


Computed, not measured: crystalline AgHgPb2 at its relaxed geometry at the PBEsol level of DFT.

Summary:
energy of formation	0.4	eV per formula unit
magnetization	0.00	μB/f.u.
density of states at the Fermi level	0.439	states/eV/atom
crystal system	trigonal

Lattice parameters (Å, degrees): 3.4240 3.4240 29.2529 90.00 90.00 120.00
Space group R-3m (No. 166, hexagonal axes)
Inequivalent atoms, fractional coordinates:
Ag1 0.0000 0.0000 0.0000 (multiplicity 3)
Hg1 0.0000 0.0000 0.5000 (multiplicity 3)
Pb1 0.0000 0.0000 0.2554 (multiplicity 6)


Computed, not measured: crystalline Ag2HgPd at its relaxed geometry at the PBEsol level of DFT.

Summary:
energy of formation	-0.1	eV per formula unit
magnetization	0.00	μB/f.u.
density of states at the Fermi level	0.281	states/eV/atom
crystal system	cubic

Lattice parameters (Å, degrees): 6.463 6.463 6.463 90.00 90.00 90.00
Space group Fm-3m (No. 225)
Inequivalent atoms, fractional coordinates:
Ag1 0.250 0.250 0.250 (multiplicity 8)
Hg1 0.000 0.000 0.000 (multiplicity 4)
Pd1 0.000 0.000 0.500 (multiplicity 4)


Computed, not measured: crystalline Ag2HgPd2 at its relaxed geometry at the PBEsol level of DFT.

Summary:
energy of formation	1.1	eV per formula unit
magnetization	0.00	μB/f.u.
density of states at the Fermi level	0.503	states/eV/atom
crystal system	tetragonal

Lattice parameters (Å, degrees): 3.665 3.665 13.490 90.00 90.00 90.00
Space group I4/mmm (No. 139)
Inequivalent atoms, fractional coordinates:
Ag1 0.000 0.000 0.100 (multiplicity 4)
Hg1 0.000 0.000 0.500 (multiplicity 2)
Pd1 0.000 0.500 0.250 (multiplicity 4)